Density functional theory data (PBE-GGA) for an optimized crystal structure of Cr2CdSe.

a = 3.360 Å, b = 3.360 Å, c = 7.972 Å
α = 77.79°, β = 77.79°, γ = 59.98°
Fractional coordinates of all 4 atoms:
Cd (0.750, 0.750, 0.750)
Cr (0.989, 0.989, 0.033)
Cr (0.511, 0.511, 0.467)
Se (0.250, 0.250, 0.250)

Computed properties:
Raw formation energy ... 271 meV per atom
Energy above the most stable polymorph in this dataset ... 0.1037 eV/atom

=====

Density functional theory data (PBE-GGA) for an optimized crystal structure of KRb2RuBr6.

a = 7.980 Å, b = 7.980 Å, c = 7.980 Å
α = 60.00°, β = 60.00°, γ = 90.00°
Fractional coordinates of all 10 atoms:
Ru (0.000, 0.000, 0.000)
K (0.500, 0.500, 0.000)
Br (0.224, 0.224, 0.552)
Br (0.776, 0.776, 0.448)
Br (0.224, 0.224, 0.000)
Br (0.776, 0.776, 0.000)
Br (0.776, 0.224, 0.000)
Br (0.224, 0.776, 0.000)
Rb (0.750, 0.250, 0.500)
Rb (0.250, 0.750, 0.500)

Computed properties:
Raw formation energy ... -1104 meV per atom
Energy above the most stable polymorph in this dataset ... 0.0047 eV/atom

=====

Density functional theory data (PBE-GGA) for an optimized crystal structure of KTaZn2.

a = 4.768 Å, b = 4.768 Å, c = 7.462 Å
α = 86.38°, β = 86.38°, γ = 33.50°
Fractional coordinates of all 4 atoms:
K (0.750, 0.750, 0.750)
Ta (0.250, 0.250, 0.250)
Zn (0.990, 0.990, 0.082)
Zn (0.510, 0.510, 0.418)

Computed properties:
Formation energy ... 0.521 eV per atom
Energy above the most stable polymorph in this dataset ... 0.0664 eV/atom

=====

Density functional theory data (PBE-GGA) for an optimized crystal structure of PmGdCd2.

a = 3.825 Å, b = 5.362 Å, c = 5.362 Å
α = 90.00°, β = 90.00°, γ = 90.00°
Fractional coordinates of all 4 atoms:
Cd (0.000, 0.000, 0.500)
Cd (0.000, 0.500, 0.000)
Gd (0.500, 0.000, 0.000)
Pm (0.500, 0.500, 0.500)

Computed properties:
Formation energy ... -0.336 eV per atom
Energy above the most stable polymorph in this dataset ... 0.0042 eV/atom

=====

Density functional theory data (PBE-GGA) for an optimized crystal structure of La3CdIr.

a = 4.933 Å, b = 4.933 Å, c = 17.087 Å
α = 90.00°, β = 90.00°, γ = 120.00°
Fractional coordinates of all 10 atoms:
Cd (0.333, 0.667, 0.750)
Cd (0.667, 0.333, 0.250)
Ir (0.000, 0.000, 0.000)
Ir (0.000, 0.000, 0.500)
La (0.000, 0.000, 0.250)
La (0.000, 0.000, 0.750)
La (0.333, 0.667, 0.937)
La (0.333, 0.667, 0.563)
La (0.667, 0.333, 0.437)
La (0.667, 0.333, 0.063)

Computed properties:
Formation energy ... 0.003 eV per atom
Energy above the most stable polymorph in this dataset ... 0.4921 eV/atom

=====

Density functional theory data (PBE-GGA) for an optimized crystal structure of CaAc4Ce3N8.

a = 7.418 Å, b = 7.478 Å, c = 7.420 Å
α = 119.74°, β = 120.00°, γ = 90.00°
Fractional coordinates of all 16 atoms:
Ca (0.000, 0.500, 0.000)
Ac (0.500, 0.000, 0.000)
Ac (0.500, 0.000, 0.500)
Ac (0.000, 0.000, 0.000)
Ac (0.000, 0.000, 0.500)
Ce (0.500, 0.500, 0.000)
Ce (0.500, 0.500, 0.500)
Ce (0.000, 0.500, 0.500)
N (0.248, 0.722, 0.974)
N (0.248, 0.722, 0.496)
N (0.261, 0.282, 0.521)
N (0.726, 0.722, 0.974)
N (0.274, 0.278, 0.026)
N (0.739, 0.718, 0.479)
N (0.752, 0.278, 0.504)
N (0.752, 0.278, 0.026)

Computed properties:
Raw formation energy ... -1188 meV per atom

=====

Density functional theory data (PBE-GGA) for an optimized crystal structure of TaZn2Si.

a = 9.015 Å, b = 9.015 Å, c = 9.015 Å
α = 18.48°, β = 18.48°, γ = 18.48°
Fractional coordinates of all 4 atoms:
Si (0.250, 0.250, 0.250)
Ta (0.750, 0.750, 0.750)
Zn (0.997, 0.997, 0.997)
Zn (0.503, 0.503, 0.503)

Computed properties:
Raw formation energy ... 230 meV per atom

=====

Density functional theory data (PBE-GGA) for an optimized crystal structure of Na2NbZn2.

a = 8.425 Å, b = 8.425 Å, c = 2.776 Å
α = 90.00°, β = 90.00°, γ = 90.00°
Fractional coordinates of all 10 atoms:
Na (0.124, 0.624, 0.500)
Na (0.624, 0.876, 0.500)
Na (0.876, 0.376, 0.500)
Na (0.376, 0.124, 0.500)
Nb (0.000, 0.000, 0.000)
Nb (0.500, 0.500, 0.000)
Zn (0.320, 0.820, 0.000)
Zn (0.820, 0.680, 0.000)
Zn (0.680, 0.180, 0.000)
Zn (0.180, 0.320, 0.000)

Computed properties:
Formation energy ... 0.534 eV per atom
Energy above the most stable polymorph in this dataset ... 0.0148 eV/atom

=====

Number 1: magnetization 7.022 μB per formula unit, density of states at the Fermi level 2.84 states/eV per cell. Number 2: magnetization 1.000 μB per formula unit, density of states at the Fermi level 14.48 states/eV per cell. Number 3: magnetization 0.000 μB per formula unit, density of states at the Fermi level 3.08 states/eV per cell. Number 4: magnetization 8.074 μB per formula unit, density of states at the Fermi level 4.45 states/eV per cell. Number 5: magnetization 0.000 μB per formula unit, density of states at the Fermi level 7.83 states/eV per cell. Number 6: magnetization 0.001 μB per formula unit, density of states at the Fermi level 7.71 states/eV per cell. Number 7: magnetization 0.000 μB per formula unit, density of states at the Fermi level 2.60 states/eV per cell. Number 8: magnetization 0.000 μB per formula unit, density of states at the Fermi level 7.41 states/eV per cell.